--- 1 ---
VASP calculation (PBE-GGA) on an optimized crystal structure of Al2CoOs.

The structure belongs to space group Pmm2 (No. 25); the cell edges are 2.7179, 3.7386 and 5.2401 Å and the angles 90.00°, 90.00° and 90.00°. The distinct sites, in fractional coordinates, are Al at (0.0000, 0.0000, 0.0000), Al at (0.5000, 0.5000, 0.2908), Co at (0.0000, 0.0000, 0.4929) and Os at (0.5000, 0.5000, 0.7790).

--- 2 ---
VASP calculation (PBE-GGA) on an optimized crystal structure of Al2CoOs.

The structure belongs to space group I-42d (No. 122); the cell edges are 6.5667, 6.5667 and 5.3180 Å and the angles 90.00°, 90.00° and 90.00°. The distinct sites, in fractional coordinates, are Al at (0.2258, 0.2500, 0.1250), Co at (0.0000, 0.0000, 0.0000) and Os at (0.0000, 0.0000, 0.5000).

--- 3 ---
VASP calculation (PBE-GGA) on an optimized crystal structure of Al2CoOs.

The structure belongs to space group R3m (No. 160, hexagonal axes); the cell edges are 2.7730, 2.7730 and 24.8191 Å and the angles 90.00°, 90.00° and 120.00°. The distinct sites, in fractional coordinates, are Al at (0.0000, 0.0000, 0.0000), Al at (0.0000, 0.0000, 0.2411), Co at (0.0000, 0.0000, 0.7432) and Os at (0.0000, 0.0000, 0.4896).

Verdict on stability: 2 comes out at the bottom.

--- 1 ---
VASP calculation (PBE-GGA) on an optimized crystal structure of AlCoOs3.

The structure belongs to space group Pm-3m (No. 221); the cell edges are 4.4001, 4.4001 and 4.4001 Å and the angles 90.00°, 90.00° and 90.00°. The distinct sites, in fractional coordinates, are Al at (0.0000, 0.0000, 0.0000), Co at (0.5000, 0.5000, 0.5000) and Os at (0.0000, 0.5000, 0.5000).

--- 2 ---
VASP calculation (PBE-GGA) on an optimized crystal structure of AlCoOs3.

The structure belongs to space group Pm-3m (No. 221); the cell edges are 4.3529, 4.3529 and 4.3529 Å and the angles 90.00°, 90.00° and 90.00°. The distinct sites, in fractional coordinates, are Al at (0.0000, 0.0000, 0.0000), Co at (0.5000, 0.5000, 0.5000) and Os at (0.0000, 0.0000, 0.5000).

Verdict on stability: 2 comes out at the bottom.

--- 1 ---
VASP calculation (PBE-GGA) on an optimized crystal structure of Al3CoP.

The structure belongs to space group Pm-3m (No. 221); the cell edges are 4.6092, 4.6092 and 4.6092 Å and the angles 90.00°, 90.00° and 90.00°. The distinct sites, in fractional coordinates, are Al at (0.0000, 0.0000, 0.5000), Co at (0.5000, 0.5000, 0.5000) and P at (0.0000, 0.0000, 0.0000).

--- 2 ---
VASP calculation (PBE-GGA) on an optimized crystal structure of Al3CoP.

The structure belongs to space group Pm-3m (No. 221); the cell edges are 4.4491, 4.4491 and 4.4491 Å and the angles 90.00°, 90.00° and 90.00°. The distinct sites, in fractional coordinates, are Al at (0.0000, 0.0000, 0.5000), Co at (0.0000, 0.0000, 0.0000) and P at (0.5000, 0.5000, 0.5000).

Verdict on stability: 1 comes out at the bottom.